The following is a GGA+U calculation of crystalline Co3RhO at its relaxed geometry, from the Alexandria database.

Calculated values
SG = No. 221
distance to the lowest polymorph of the same formula = 1.3182 eV/atom
total magnetic moment = 1.72 μB/atom
total DFT energy (no corrections) = -3.92 eV/atom

abc: 4.6871 4.6871 4.6871
angles: 90.00 90.00 90.00
Fractional coordinates of all 5 atoms:
Co 0.0000 0.0000 0.5000
Co 0.0000 0.5000 0.0000
Co 0.5000 0.0000 0.0000
Rh 0.0000 0.0000 0.0000
O 0.5000 0.5000 0.5000